The following is a DFT calculation (GGA-PBE) of a relaxed structure of Y2AgHg6.

```
Y2AgHg6
1.0
4.202 -4.314 0.000
4.202 4.314 0.000
-0.253 0.000 5.912
Y Ag Hg
2 1 6
Direct
0.176 0.176 0.178
0.824 0.824 0.822
0.500 0.500 0.500
0.000 0.333 0.667
0.000 0.667 0.333
0.333 0.000 0.667
0.335 0.665 0.000
0.665 0.335 0.000
0.667 0.000 0.333
```

Values from the calculation:
As for the energy above the most stable polymorph in this dataset: 53 meV/atom. For the volume, the calculation gives 23.82 Å³/atom. Its space-group type is C2/m (12).

***

The following is a DFT calculation (GGA-PBE) of a relaxed structure of YAg2Hg2.

```
YAg2Hg2
1.0
7.872 0.000 0.000
0.000 7.872 0.000
0.000 0.000 3.743
Y Ag Hg
2 4 4
Direct
0.000 0.000 0.000
0.500 0.500 0.000
0.172 0.328 0.500
0.328 0.828 0.500
0.672 0.172 0.500
0.828 0.672 0.500
0.130 0.630 0.000
0.370 0.130 0.000
0.630 0.870 0.000
0.870 0.370 0.000
```

Values from the calculation:
As for the energy above the most stable polymorph in this dataset: 162 meV/atom. For the volume, the calculation gives 23.19 Å³/atom. Its space-group type is P4/mbm (127).

***

The following is a DFT calculation (GGA-PBE) of a relaxed structure of Y3Ag2Hg4.

```
Y3Ag2Hg4
1.0
5.457 -2.452 0.000
5.457 2.452 0.000
-4.563 0.000 7.907
Y Ag Hg
3 2 4
Direct
0.000 0.000 0.000
0.333 0.333 0.335
0.667 0.667 0.665
0.391 0.391 0.722
0.609 0.609 0.278
0.060 0.060 0.389
0.286 0.286 0.946
0.714 0.714 0.054
0.940 0.940 0.611
```

Values from the calculation:
As for the energy above the most stable polymorph in this dataset: 0 meV/atom. For the volume, the calculation gives 23.51 Å³/atom. Its space-group type is C2/m (12).

***

The following is a DFT calculation (GGA-PBE) of a relaxed structure of Y6Ag5Hg.

```
Y6Ag5Hg
1.0
2.593 -7.767 0.000
2.593 7.767 0.000
0.000 0.000 7.298
Y Ag Hg
6 5 1
Direct
0.000 0.000 0.247
0.000 0.000 0.753
0.332 0.668 0.248
0.332 0.668 0.752
0.668 0.332 0.248
0.668 0.332 0.752
0.166 0.834 0.000
0.167 0.833 0.500
0.500 0.500 0.000
0.833 0.167 0.500
0.834 0.166 0.000
0.500 0.500 0.500
```

Values from the calculation:
For the volume, the calculation gives 24.50 Å³/atom. Its space-group type is Cmmm (65).

***

The following is a DFT calculation (GGA-PBE) of a relaxed structure of Y2Ag2Hg.

```
Y2Ag2Hg
1.0
8.341 0.000 0.000
0.000 8.341 0.000
0.000 0.000 3.708
Y Ag Hg
4 4 2
Direct
0.163 0.337 0.000
0.337 0.837 0.000
0.663 0.163 0.000
0.837 0.663 0.000
0.128 0.628 0.500
0.372 0.128 0.500
0.628 0.872 0.500
0.872 0.372 0.500
0.000 0.000 0.000
0.500 0.500 0.000
```

Values from the calculation:
As for the energy above the most stable polymorph in this dataset: 211 meV/atom. For the volume, the calculation gives 25.80 Å³/atom. Its space-group type is P4/mbm (127).

***

The following is a DFT calculation (GGA-PBE) of a relaxed structure of Y4AgHg2.

```
Y4AgHg2
1.0
2.584 1.492 8.419
-2.584 1.492 8.419
0.000 -2.984 8.419
Y Ag Hg
4 1 2
Direct
0.123 0.123 0.123
0.374 0.374 0.374
0.626 0.626 0.626
0.877 0.877 0.877
0.500 0.500 0.500
0.252 0.252 0.252
0.748 0.748 0.748
```

Values from the calculation:
For the volume, the calculation gives 27.82 Å³/atom. Its space-group type is R-3m (166).

***

Across the entries above, ΔH_f (0 K) takes the values -0.219; -0.061; -0.380; -0.362; -0.179; -0.293 eV/atom, respectively.